1.
## Sc5Te5C (PBE)

Data for a relaxed Sc5Te5C crystal.

Cell lengths 12.662, 5.713, 8.003 Å; angles 90.00, 108.85, 90.00 degrees
Space group C2/m (No. 12)
Asymmetric unit:
Sc  0.000  0.000  0.000
Sc  0.134  0.500  0.273
Sc  0.140  0.500  0.865
Te  0.000  0.500  0.500
Te  0.161  0.000  0.815
Te  0.180  0.000  0.331
C  0.000  0.500  0.000

E_form (uncorrected) = -1.01 eV/atom
density of states at the Fermi level = 4.32 states/eV/f.u.

=====

2.
## ScTe3C (PBE)

Data for a relaxed ScTe3C crystal.

Cell lengths 4.801, 4.801, 4.801 Å; angles 90.00, 90.00, 90.00 degrees
Space group Pm-3m (No. 221)
Asymmetric unit:
Sc  0.000  0.000  0.000
Te  0.000  0.500  0.500
C  0.500  0.500  0.500

excess energy over the best structure of this formula in the dataset = 0 meV/atom
E_form (uncorrected) = 0.48 eV/atom
density of states at the Fermi level = 2.05 states/eV/f.u.

=====

3.
## Sc8Te2C3 (PBE)

Data for a relaxed Sc8Te2C3 crystal.

Cell lengths 14.132, 6.828, 5.959 Å; angles 90.00, 105.99, 90.00 degrees
Space group C2/m (No. 12)
Asymmetric unit:
Sc  0.084  0.000  0.399
Sc  0.085  0.500  0.389
Sc  0.088  0.260  0.884
Te  0.246  0.000  0.193
C  0.000  0.250  0.500
C  0.000  0.500  0.000

E_form (uncorrected) = -0.62 eV/atom
density of states at the Fermi level = 12.16 states/eV/f.u.

=====

4.
## Sc4Te3C (PBE)

Data for a relaxed Sc4Te3C crystal.

Cell lengths 9.719, 7.609, 5.661 Å; angles 90.00, 90.00, 90.00 degrees
Space group Pmn2_1 (No. 31)
Asymmetric unit:
Sc  0.000  0.136  0.000
Sc  0.000  0.862  0.545
Sc  0.202  0.762  0.992
Te  0.000  0.238  0.498
Te  0.241  0.654  0.491
C  0.000  0.861  0.935

E_form (uncorrected) = -0.82 eV/atom
density of states at the Fermi level = 5.12 states/eV/f.u.